Entry from Alexandria via LeMat-Bulk: crystalline Pr2YZrN4 at its relaxed geometry (PBE).

CIF file:
```
data_Pr2YZrN4
_chemical_formula_sum 'Pr2 Y1 Zr1 N4'
_cell_length_a 6.059
_cell_length_b 3.494
_cell_length_c 6.135
_cell_angle_alpha 90.00
_cell_angle_beta 109.03
_cell_angle_gamma 90.00
_symmetry_space_group_name_H-M 'P 1 2/m 1'
_symmetry_Int_Tables_number 10
loop_
_symmetry_equiv_pos_as_xyz
'x,y,z'
'-x,-y,-z'
'-x,y,-z'
'x,-y,z'
loop_
_atom_site_label
_atom_site_type_symbol
_atom_site_fract_x
_atom_site_fract_y
_atom_site_fract_z
Pr1 Pr 0.000 0.000 0.000
Pr2 Pr 0.500 0.500 0.000
Y1 Y 0.000 0.500 0.500
Zr1 Zr 0.500 0.000 0.500
N1 N 0.255 0.000 0.726
N2 N 0.270 0.500 0.279
```

Results
As for the uncorrected formation energy: -1.493 eV per atom. The density of states at the Fermi level is 1.17 states/eV per cell.

=====

Entry from Alexandria via LeMat-Bulk: crystalline NaNpPd6 at its relaxed geometry (PBE).

CIF file:
```
data_NaNpPd6
_chemical_formula_sum 'Na1 Np1 Pd6'
_cell_length_a 4.142
_cell_length_b 4.142
_cell_length_c 7.961
_cell_angle_alpha 90.00
_cell_angle_beta 90.00
_cell_angle_gamma 90.00
_symmetry_space_group_name_H-M 'P 4/m m m'
_symmetry_Int_Tables_number 123
_symmetry_space_group_name_Hall '-P 4 2'
loop_
_atom_site_label
_atom_site_type_symbol
_atom_site_fract_x
_atom_site_fract_y
_atom_site_fract_z
Na1 Na 0.000 0.000 0.000
Np1 Np 0.000 0.000 0.500
Pd1 Pd 0.000 0.500 0.254
Pd2 Pd 0.500 0.500 0.000
Pd3 Pd 0.500 0.500 0.500
```

Results
The density of states at the Fermi level is 12.37 states/eV per cell. The total energy comes out at -5.956 eV/atom.

=====

Entry from Alexandria via LeMat-Bulk: crystalline Na2NpHO6 at its relaxed geometry (PBE).

CIF file:
```
data_Na2NpHO6
_chemical_formula_sum 'Na2 Np1 H1 O6'
_cell_length_a 5.706
_cell_length_b 5.714
_cell_length_c 6.053
_cell_angle_alpha 109.04
_cell_angle_beta 113.48
_cell_angle_gamma 103.23
_symmetry_space_group_name_H-M 'P -1'
_symmetry_Int_Tables_number 2
loop_
_symmetry_equiv_pos_as_xyz
'x,y,z'
'-x,-y,-z'
loop_
_atom_site_label
_atom_site_type_symbol
_atom_site_fract_x
_atom_site_fract_y
_atom_site_fract_z
Na1 Na 0.234 0.079 0.317
Np1 Np 0.500 0.500 0.000
H1 H 0.000 0.500 0.500
O1 O 0.174 0.431 0.610
O2 O 0.237 0.228 0.000
O3 O 0.430 0.770 0.211
```

Results
The density of states at the Fermi level is 6.04 states/eV per cell. The total energy comes out at -6.509 eV/atom.

=====

Entry from Alexandria via LeMat-Bulk: crystalline PmErCuRu at its relaxed geometry (PBE).

CIF file:
```
data_PmErCuRu
_chemical_formula_sum 'Pm4 Er4 Cu4 Ru4'
_cell_length_a 6.927
_cell_length_b 6.927
_cell_length_c 6.927
_cell_angle_alpha 90.00
_cell_angle_beta 90.00
_cell_angle_gamma 90.00
_symmetry_space_group_name_H-M 'F -4 3 m'
_symmetry_Int_Tables_number 216
_symmetry_space_group_name_Hall 'F -4 2 3'
loop_
_atom_site_label
_atom_site_type_symbol
_atom_site_fract_x
_atom_site_fract_y
_atom_site_fract_z
Pm1 Pm 0.000 0.000 0.000
Er1 Er 0.000 0.000 0.500
Cu1 Cu 0.250 0.250 0.750
Ru1 Ru 0.250 0.250 0.250
```

Results
As for the excess energy over the best structure of this formula in the dataset: 0.00 eV per formula unit. The density of states at the Fermi level is 12.90 states/eV per cell.

=====

Entry from Alexandria via LeMat-Bulk: crystalline InFeP2 at its relaxed geometry (PBE).

CIF file:
```
data_InFeP2
_chemical_formula_sum 'In2 Fe2 P4'
_cell_length_a 3.718
_cell_length_b 3.718
_cell_length_c 9.829
_cell_angle_alpha 90.00
_cell_angle_beta 90.00
_cell_angle_gamma 90.00
_symmetry_space_group_name_H-M 'I -4 m 2'
_symmetry_Int_Tables_number 119
_symmetry_space_group_name_Hall 'I -4 -2'
loop_
_atom_site_label
_atom_site_type_symbol
_atom_site_fract_x
_atom_site_fract_y
_atom_site_fract_z
In1 In 0.000 0.000 0.000
Fe1 Fe 0.000 0.500 0.250
P1 P 0.000 0.000 0.500
P2 P 0.000 0.500 0.750
```

Results
The density of states at the Fermi level is 7.45 states/eV per cell. The total energy comes out at -4.950 eV/atom.

=====

Entry from Alexandria via LeMat-Bulk: crystalline InGe2As2 at its relaxed geometry (PBE).

CIF file:
```
data_InGe2As2
_chemical_formula_sum 'In2 Ge4 As4'
_cell_length_a 5.040
_cell_length_b 5.040
_cell_length_c 8.878
_cell_angle_alpha 90.00
_cell_angle_beta 90.00
_cell_angle_gamma 90.00
_symmetry_space_group_name_H-M 'I 4/m m m'
_symmetry_Int_Tables_number 139
_symmetry_space_group_name_Hall '-I 4 2'
loop_
_atom_site_label
_atom_site_type_symbol
_atom_site_fract_x
_atom_site_fract_y
_atom_site_fract_z
In1 In 0.000 0.000 0.000
Ge1 Ge 0.000 0.000 0.352
As1 As 0.000 0.500 0.250
```

Results
As for the excess energy over the best structure of this formula in the dataset: 0.00 eV per formula unit. The density of states at the Fermi level is 3.89 states/eV per cell.